Material: TcPt2Au
Method: DFT, SCAN
State: PBEsol geometry

Cell and atoms, written as POSCAR:
```
TcPt2Au
1.0
-1.959 1.959 3.920
1.959 -1.959 3.920
1.959 1.959 -3.920
Tc Pt Au
1 2 1
Direct
0.000 0.000 0.000 Tc
0.250 0.750 0.500 Pt
0.500 0.500 0.000 Pt
0.750 0.250 0.500 Au
```

uncorrected energy = -244.17 eV/cell
total moment = 0.00 μB/f.u.
space group = I-4m2 (119)
DFT formation energy = 0.107 eV per atom